Entry from the Alexandria database: a geometry-optimized ZrTl2Ir structure (GGA-PBE).

Structure (CIF):
```
data_ZrTl2Ir
_space_group_name_H-M_alt 'C 1 m 1'
_space_group_IT_number 8
_space_group_name_Hall 'C -2y'
_cell_length_a 8.953
_cell_length_b 3.577
_cell_length_c 6.007
_cell_angle_alpha 90.00
_cell_angle_beta 101.71
_cell_angle_gamma 90.00
loop_
_atom_site_label
_atom_site_fract_x
_atom_site_fract_y
_atom_site_fract_z
Zr1 0.000 0.000 0.000
Tl1 0.036 0.500 0.578
Tl2 0.268 0.500 0.282
Ir1 0.291 0.000 0.856
```

Results
- V (Å³ per atom) = 23.5
- density of states at the Fermi level (states/eV per cell) = 3.809
- calculated total energy (eV per cell) = -43.70
- theoretical density (g cm⁻³) = 12.20
- energy relative to the elements (eV per atom) = 0.07
- polymorph energy (0 for the lowest one) (meV per atom) = 191